Entry 1:
Crystalline Cu3Te2OsS2 at its relaxed geometry. Source: the Open Quantum Materials Database, functional PBE.

```
data_Cu3Te2OsS2
_chemical_formula_sum 'Cu6 Te4 Os2 S4'
_space_group_name_H-M_alt 'C m m 2'
_space_group_IT_number 35
_space_group_name_Hall 'C 2 -2'
_cell_length_a 7.9103
_cell_length_b 8.4655
_cell_length_c 5.3917
_cell_angle_alpha 90.00
_cell_angle_beta 90.00
_cell_angle_gamma 90.00
loop_
_atom_site_label
_atom_site_type_symbol
_atom_site_fract_x
_atom_site_fract_y
_atom_site_fract_z
Cu1 Cu 0.0000 0.0000 0.0000
Cu2 Cu 0.2500 0.2500 0.5380
Te1 Te 0.2137 0.5000 0.2542
Os1 Os 0.0000 0.0000 0.4972
S1 S 0.0000 0.2198 0.7400
```

=====

Entry 2:
Crystalline TlCuTe2OsS at its relaxed geometry. Source: the Open Quantum Materials Database, functional PBE.

```
data_TlCuTe2OsS
_chemical_formula_sum 'Tl4 Cu4 Te8 Os4 S4'
_space_group_name_H-M_alt 'C m c m'
_space_group_IT_number 63
_space_group_name_Hall '-C 2c 2'
_cell_length_a 3.9623
_cell_length_b 15.0536
_cell_length_c 9.3444
_cell_angle_alpha 90.00
_cell_angle_beta 90.00
_cell_angle_gamma 90.00
loop_
_atom_site_label
_atom_site_type_symbol
_atom_site_fract_x
_atom_site_fract_y
_atom_site_fract_z
Tl1 Tl 0.0000 0.2381 0.2500
Cu1 Cu 0.0000 0.0082 0.7500
Te1 Te 0.0000 0.1210 0.5461
Os1 Os 0.0000 0.5000 0.0000
S1 S 0.0000 0.4342 0.7500
```

=====

Entry 3:
Crystalline TlCuTeOsS2 at its relaxed geometry. Source: the Open Quantum Materials Database, functional PBE.

```
data_TlCuTeOsS2
_chemical_formula_sum 'Tl4 Cu4 Te4 Os4 S8'
_space_group_name_H-M_alt 'C m c m'
_space_group_IT_number 63
_space_group_name_Hall '-C 2c 2'
_cell_length_a 3.6387
_cell_length_b 15.4578
_cell_length_c 9.7214
_cell_angle_alpha 90.00
_cell_angle_beta 90.00
_cell_angle_gamma 90.00
loop_
_atom_site_label
_atom_site_type_symbol
_atom_site_fract_x
_atom_site_fract_y
_atom_site_fract_z
Tl1 Tl 0.0000 0.2170 0.2500
Cu1 Cu 0.0000 0.4603 0.7500
Te1 Te 0.0000 0.0852 0.7500
Os1 Os 0.0000 0.0000 0.0000
S1 S 0.0000 0.4011 0.5413
```

=====

Entry 4:
Crystalline TlCuOsS3 at its relaxed geometry. Source: the Open Quantum Materials Database, functional PBE.

```
data_TlCuOsS3
_chemical_formula_sum 'Tl4 Cu4 Os4 S12'
_space_group_name_H-M_alt 'C m c m'
_space_group_IT_number 63
_space_group_name_Hall '-C 2c 2'
_cell_length_a 3.6506
_cell_length_b 13.9289
_cell_length_c 9.2349
_cell_angle_alpha 90.00
_cell_angle_beta 90.00
_cell_angle_gamma 90.00
loop_
_atom_site_label
_atom_site_type_symbol
_atom_site_fract_x
_atom_site_fract_y
_atom_site_fract_z
Tl1 Tl 0.0000 0.2489 0.2500
Cu1 Cu 0.0000 0.0343 0.7500
Os1 Os 0.0000 0.5000 0.0000
S1 S 0.0000 0.1114 0.5381
S2 S 0.0000 0.4331 0.7500
```

=====

Entry 5:
Crystalline TlCu2OsS4 at its relaxed geometry. Source: the Open Quantum Materials Database, functional PBE.

```
data_TlCu2OsS4
_chemical_formula_sum 'Tl4 Cu8 Os4 S16'
_space_group_name_H-M_alt 'A m a 2'
_space_group_IT_number 40
_space_group_name_Hall 'A 2 -2a'
_cell_length_a 7.3674
_cell_length_b 18.4468
_cell_length_c 5.4662
_cell_angle_alpha 90.00
_cell_angle_beta 90.00
_cell_angle_gamma 90.00
loop_
_atom_site_label
_atom_site_type_symbol
_atom_site_fract_x
_atom_site_fract_y
_atom_site_fract_z
Tl1 Tl 0.2500 0.1843 0.0000
Cu1 Cu 0.0000 0.0000 0.2768
Cu2 Cu 0.2500 0.3924 0.2406
Os1 Os 0.2500 0.3740 0.7450
S1 S 0.0026 0.3919 0.9781
S2 S 0.2500 0.2829 0.4839
S3 S 0.2500 0.4814 0.5301
```

=====

Entry 6:
Crystalline TlCuOsS3 at its relaxed geometry. Source: the Open Quantum Materials Database, functional PBE.

```
data_TlCuOsS3
_chemical_formula_sum 'Tl2 Cu2 Os2 S6'
_space_group_name_H-M_alt 'P 1 21/m 1'
_space_group_IT_number 11
_space_group_name_Hall '-P 2yb'
_cell_length_a 7.6194
_cell_length_b 3.6561
_cell_length_c 9.4374
_cell_angle_alpha 90.00
_cell_angle_beta 112.99
_cell_angle_gamma 90.00
loop_
_atom_site_label
_atom_site_type_symbol
_atom_site_fract_x
_atom_site_fract_y
_atom_site_fract_z
Tl1 Tl 0.2239 0.2500 0.2130
Cu1 Cu 0.4262 0.2500 0.8922
Os1 Os 0.1900 0.7500 0.6596
S1 S 0.0319 0.7500 0.3855
S2 S 0.2556 0.7500 0.9296
S3 S 0.3885 0.2500 0.6448
```

=====

Number 1: VASP energy -73.57 eV per cell. Number 2: VASP energy -109.73 eV per cell. Number 3: VASP energy -116.14 eV per cell. Number 4: VASP energy -121.32 eV per cell. Number 5: VASP energy -153.33 eV per cell. Number 6: VASP energy -61.65 eV per cell.